Record 1
Density functional theory data (PBE) for an optimized crystal structure of Bi3PN.

Unit cell a=4.9247 b=4.9247 c=4.9247 alpha=90.00 beta=90.00 gamma=90.00
With the nearest neighbours (Å) after each atom.
Fractional positions:
Bi 0.0000 0.0000 0.5000  2 N 2.46
Bi 0.0000 0.5000 0.0000  2 N 2.46
Bi 0.5000 0.0000 0.0000  2 N 2.46
P 0.5000 0.5000 0.5000  12 Bi 3.48
N 0.0000 0.0000 0.0000  6 Bi 2.46

Values from the calculation:
Its size of the total moment is 0.00 μB per formula unit. The value obtained for the distance to the lowest polymorph of the same formula is 0.0 kJ/mol of formula units. Its calculated density is 9.34 g/cm3. As for the uncorrected formation energy: 0.76 eV/atom.

=====

Record 2
Density functional theory data (PBE) for an optimized crystal structure of BiP2N.

Unit cell a=6.8041 b=6.8041 c=6.8041 alpha=137.21 beta=137.21 gamma=62.11
With the nearest neighbours (Å) after each atom.
Fractional positions:
Bi 0.3750 0.6250 0.7500  8 P 3.13, 4 N 3.51
Bi 0.6250 0.3750 0.2500  8 P 3.13, 4 N 3.51
P 0.0000 0.0000 0.0000  2 N 1.91
P 0.0000 0.0000 0.5000  2 N 1.91
P 0.0000 0.5000 0.0000  2 N 1.91
P 0.5000 0.0000 0.5000  2 N 1.91
N 0.1250 0.8750 0.2500  4 P 1.91
N 0.8750 0.1250 0.7500  4 P 1.91

Values from the calculation:
Its size of the total moment is 0.00 μB per formula unit. The value obtained for the distance to the lowest polymorph of the same formula is 0.0 kJ/mol of formula units. Its calculated density is 6.59 g/cm3. As for the uncorrected formation energy: 0.74 eV/atom.

=====

Record 3
Density functional theory data (PBE) for an optimized crystal structure of BiP4N7.

Unit cell a=12.3438 b=5.0802 c=4.7300 alpha=90.00 beta=90.00 gamma=90.00
With the nearest neighbours (Å) after each atom.
Fractional positions:
Bi 0.0000 0.2424 0.0000  5 N 2.68-2.97
Bi 0.5000 0.7576 0.5000  5 N 2.68-2.97
P 0.1211 0.6752 0.4635  4 N 1.59-1.76
P 0.2403 0.8274 0.9363  4 N 1.56-1.72
P 0.2597 0.1726 0.4363  4 N 1.56-1.72
P 0.3789 0.3248 0.9635  4 N 1.59-1.76
P 0.6211 0.3248 0.9635  4 N 1.59-1.76
P 0.7403 0.1726 0.4363  4 N 1.56-1.72
P 0.7597 0.8274 0.9363  4 N 1.56-1.72
P 0.8789 0.6752 0.4635  4 N 1.59-1.76
N 0.0000 0.6694 0.3317  2 P 1.62
N 0.1254 0.7919 0.7798  2 P 1.61
N 0.1721 0.3929 0.4085  2 P 1.56-1.59
N 0.2064 0.8940 0.2815  3 P 1.72-1.76
N 0.2936 0.1060 0.7815  3 P 1.72-1.76
N 0.3279 0.6071 0.9085  2 P 1.56-1.59
N 0.3746 0.2081 0.2798  2 P 1.61
N 0.5000 0.3306 0.8317  2 P 1.62
N 0.6254 0.2081 0.2798  2 P 1.61
N 0.6721 0.6071 0.9085  2 P 1.56-1.59
N 0.7064 0.1060 0.7815  3 P 1.72-1.76
N 0.7936 0.8940 0.2815  3 P 1.72-1.76
N 0.8279 0.3929 0.4085  2 P 1.56-1.59
N 0.8746 0.7919 0.7798  2 P 1.61

Values from the calculation:
Its size of the total moment is 1.87 μB per formula unit. Its calculated density is 4.82 g/cm3. As for the uncorrected formation energy: -0.07 eV/atom.

=====

Record 4
Density functional theory data (PBE) for an optimized crystal structure of BiPN.

Unit cell a=9.8619 b=4.2492 c=4.2492 alpha=40.16 beta=90.00 gamma=90.00
With the nearest neighbours (Å) after each atom.
Fractional positions:
Bi 0.2026 0.0000 0.0000  1 N 2.33
Bi 0.7974 0.0000 0.0000  1 N 2.33
P 0.0000 0.2959 0.2959  2 P 2.92, 6 Bi 2.96-3.09
P 0.5000 0.3096 0.3096  4 N 1.86
N 0.3827 0.8116 0.8116  2 P 1.86
N 0.6173 0.8116 0.8116  2 P 1.86

Values from the calculation:
Its size of the total moment is 0.00 μB per formula unit. Its calculated density is 7.35 g/cm3. As for the uncorrected formation energy: 0.69 eV/atom.